Computed, not measured: a geometry-optimized Ca3BePt structure at the PBE level of DFT.

The value obtained for the final energy is -3.145 eV/atom. The value obtained for the volume is 165.7 Å³ per cell. For the energy relative to the elements, the calculation gives 5 kJ/mol of formula units. Its space group is No. 221. The relative energy among the computed polymorphs is 0.0 meV/atom.

a b c (Å): 5.493 5.493 5.493
angles (deg): 90.00 90.00 90.00
Fractional positions:
Ca (0.500, 0.000, 0.000)
Ca (0.000, 0.000, 0.500)
Ca (0.000, 0.500, 0.000)
Be (0.500, 0.500, 0.500)
Pt (0.000, 0.000, 0.000)